# 1
# La2Cu5Au

A geometry-optimized La2Cu5Au structure (PBE-GGA, Alexandria).

total energy = -4.493 eV per atom
SG = Cmcm, No. 63
calculated formation energy = -0.291 eV per atom
DOS at the Fermi energy = 0.615 states/eV/atom
magnetic moment = 0.00 μB/f.u.

a b c (Å): 4.2661 8.2191 9.1121
angles (deg): 90.00 90.00 105.04
Closest atoms and distances in Å follow each position.
Atoms (fractional coordinates):
Cu1 0.3371 0.6741 0.9870  4 Cu 2.44-2.72, 1 Au 2.71
Cu2 0.8235 0.6470 0.1159  6 Cu 2.44-2.72
Cu3 0.6629 0.3259 0.4870  4 Cu 2.44-2.72, 1 Au 2.71
Cu4 0.6629 0.3259 0.0130  4 Cu 2.44-2.72, 1 Au 2.71
Cu5 0.1765 0.3530 0.8841  6 Cu 2.44-2.72
Cu6 0.3942 0.7884 0.2500  6 Cu 2.56-2.70, 1 Au 2.63
Cu7 0.1765 0.3530 0.6159  6 Cu 2.44-2.72
Cu8 0.6058 0.2116 0.7500  6 Cu 2.56-2.70, 1 Au 2.63
Cu9 0.8235 0.6470 0.3841  6 Cu 2.44-2.72
Cu10 0.3371 0.6741 0.5130  4 Cu 2.44-2.72, 1 Au 2.71
Au1 0.5600 0.1200 0.2500  3 Cu 2.63-2.71
Au2 0.4400 0.8800 0.7500  3 Cu 2.63-2.71
La1 0.2074 0.4147 0.2500  11 Cu 2.97-3.16, 2 Au 3.17
La2 0.7926 0.5853 0.7500  11 Cu 2.97-3.16, 2 Au 3.17
La3 0.0000 0.0000 0.5000  2 Cu 2.99, 4 Au 3.26
La4 0.0000 0.0000 0.0000  2 Cu 2.99, 4 Au 3.26

***

# 2
# LaCuAu2

A geometry-optimized LaCuAu2 structure (PBE-GGA, Alexandria).

total energy = -4.446 eV per atom
SG = R-3m, No. 166
calculated formation energy = -0.551 eV per atom
DOS at the Fermi energy = 0.439 states/eV/atom
magnetic moment = 0.00 μB/f.u.

a b c (Å): 5.5776 5.5776 5.5776
angles (deg): 48.28 48.28 48.28
Closest atoms and distances in Å follow each position.
Atoms (fractional coordinates):
Au1 0.5339 0.5339 0.5339  3 Cu 2.73, 3 Au 3.01
Au2 0.9661 0.9661 0.9661  3 Cu 2.73, 3 Au 3.01
Cu1 0.2500 0.2500 0.2500  6 Au 2.73
La1 0.7500 0.7500 0.7500  8 Au 3.15-3.19

***

# 3
# La2CuAu2

A geometry-optimized La2CuAu2 structure (PBE-GGA, Alexandria).

total energy = -4.750 eV per atom
SG = P-1, No. 2
calculated formation energy = -0.649 eV per atom
DOS at the Fermi energy = 0.760 states/eV/atom
magnetic moment = 0.00 μB/f.u.
E above lowest polymorph = 0.000 eV/atom

a b c (Å): 4.3612 5.9490 10.5756
angles (deg): 87.97 78.26 68.54
Closest atoms and distances in Å follow each position.
Atoms (fractional coordinates):
Au1 0.0703 0.2849 0.5754  2 Cu 2.61, 1 Au 2.90
Au2 0.6454 0.8272 0.8819  1 Cu 2.72, 1 Au 3.04
Au3 0.9297 0.7151 0.4246  2 Cu 2.61, 1 Au 2.90
Au4 0.3546 0.1728 0.1181  1 Cu 2.72, 1 Au 3.04
Cu1 0.6099 0.1091 0.6730  3 Au 2.61-2.72
Cu2 0.3901 0.8909 0.3270  3 Au 2.61-2.72
La1 0.3214 0.7095 0.6491  3 Cu 3.11-3.34, 7 Au 3.19-3.31
La2 0.9270 0.2629 0.8855  6 Au 3.13-3.31, 2 Cu 3.18-3.19
La3 0.0730 0.7371 0.1145  6 Au 3.13-3.31, 2 Cu 3.18-3.19
La4 0.6786 0.2905 0.3509  3 Cu 3.11-3.34, 7 Au 3.19-3.31

***

- Which of these has the highest calculated formation energy?
  La2Cu5Au

***

- Which value of DOS at the Fermi energy does entry 1 give?
  0.615 states/eV/atom

***

- The highest DOS at the Fermi energy belongs to which entry?
  La2CuAu2